Entry 1:
ZrWSe2 (GGA-PBE, optimized geometry); symmetry = P4mm, No. 99; raw total energy = -7.51 eV/atom
1.0
3.428 0.000 0.000
0.000 3.428 0.000
0.000 0.000 6.423
Zr W Se
1 1 2
Cartesian
0.000 0.000 0.000
1.714 1.714 4.496
0.000 0.000 3.466
1.714 1.714 1.244

=====

Entry 2:
ZrWSe2 (GGA-PBE, optimized geometry); symmetry = R3m, No. 160; raw total energy = -7.54 eV/atom
1.0
1.696 0.979 8.973
-1.696 0.979 8.973
0.000 -1.958 8.973
Zr W Se
1 1 2
Cartesian
0.000 0.000 0.000
0.000 0.000 20.191
0.000 0.000 7.179
0.000 0.000 12.869